Here is crystalline Sr3Tc at its relaxed geometry from Alexandria. Energies are from PBE.

* size of the total moment: 0.81 μB per formula unit
* DFT formation energy: 0.741 eV per atom
* symmetry: Pm-3m (221)
* total energy: -0.2287 Ry per atom

Lattice parameters (Å, degrees): 5.8814 5.8814 5.8814 90.00 90.00 90.00
Element x y z (fractional)
Sr1 0.0000 0.0000 0.5000
Sr2 0.0000 0.5000 0.0000
Sr3 0.5000 0.0000 0.0000
Tc1 0.0000 0.0000 0.0000

***

Here is crystalline Ba3Li2InPb6 at its relaxed geometry from Alexandria. Energies are from PBE.

* size of the total moment: 0.00 μB per formula unit
* DFT formation energy: -0.285 eV per atom
* symmetry: P-3m1 (164)
* total energy: -0.2327 Ry per atom

Lattice parameters (Å, degrees): 6.9655 6.9655 10.2361 90.00 90.00 120.00
Element x y z (fractional)
Ba1 0.0000 0.0000 0.0000
Ba2 0.3333 0.6667 0.5909
Ba3 0.6667 0.3333 0.4091
Li1 0.3333 0.6667 0.0097
Li2 0.6667 0.3333 0.9903
In1 0.0000 0.0000 0.5000
Pb1 0.1796 0.3593 0.2639
Pb2 0.1796 0.8204 0.2639
Pb3 0.3593 0.1796 0.7361
Pb4 0.6407 0.8204 0.2639
Pb5 0.8204 0.1796 0.7361
Pb6 0.8204 0.6407 0.7361

***

Here is crystalline Hg2SbIr at its relaxed geometry from Alexandria. Energies are from PBE.

* size of the total moment: 0.00 μB per formula unit
* uncorrected formation energy: 185 meV/atom
* symmetry: Imm2 (44)
* total energy: -0.2360 Ry per atom

Lattice parameters (Å, degrees): 7.0862 7.0862 7.0862 154.96 141.13 46.79
Element x y z (fractional)
Hg1 0.0000 0.0000 0.0000
Hg2 0.6736 0.1736 0.5000
Sb1 0.3600 0.3600 0.0000
Ir1 0.1927 0.6927 0.5000

***

Here is crystalline Li6HgPd2 at its relaxed geometry from Alexandria. Energies are from PBE.

* size of the total moment: 0.00 μB per formula unit
* DFT formation energy: -0.324 eV per atom
* symmetry: C2/m (12)
* total energy: -0.2049 Ry per atom

Lattice parameters (Å, degrees): 7.6807 7.6807 2.8405 97.99 97.99 57.03
Element x y z (fractional)
Li1 0.1475 0.5071 0.8487
Li2 0.1609 0.8391 0.0000
Li3 0.4929 0.8525 0.1513
Li4 0.5071 0.1475 0.8487
Li5 0.8391 0.1609 0.0000
Li6 0.8525 0.4929 0.1513
Hg1 0.5000 0.5000 0.5000
Pd1 0.1537 0.1537 0.6096
Pd2 0.8463 0.8463 0.3904

***

Here is crystalline Li3N at its relaxed geometry from Alexandria. Energies are from PBE.

* size of the total moment: 0.00 μB per formula unit
* uncorrected formation energy: -215 meV/atom
* symmetry: Fm-3m (225)
* total energy: -0.2743 Ry per atom

Lattice parameters (Å, degrees): 3.5578 3.5578 3.5578 60.00 60.00 60.00
Element x y z (fractional)
Li1 0.0000 0.0000 0.0000
Li2 0.2500 0.2500 0.2500
Li3 0.7500 0.7500 0.7500
N1 0.5000 0.5000 0.5000

***

Here is crystalline InPdOF2 at its relaxed geometry from Alexandria. Energies are from PBE.

* size of the total moment: 1.00 μB per formula unit
* uncorrected formation energy: -1099 meV/atom
* symmetry: P4/mmm (123)
* total energy: -0.3252 Ry per atom

Lattice parameters (Å, degrees): 4.2490 4.2490 4.1484 90.00 90.00 90.00
Element x y z (fractional)
In1 0.0000 0.0000 0.0000
Pd1 0.5000 0.5000 0.5000
O1 0.0000 0.0000 0.5000
F1 0.0000 0.5000 0.0000
F2 0.5000 0.0000 0.0000